Record 1
First-principles (GGA-PBE) data for crystalline Cd12In5Bi3 at its relaxed geometry, as listed in Alexandria via LeMat-Bulk.

Structure (CIF):
```
data_Cd12In5Bi3
_cell_length_a 17.3518
_cell_length_b 17.3518
_cell_length_c 17.3518
_cell_angle_alpha 90.00
_cell_angle_beta 90.00
_cell_angle_gamma 90.00
_symmetry_space_group_name_H-M 'I a -3 d'
_symmetry_Int_Tables_number 230
_symmetry_space_group_name_Hall '-I 4bd 2c 3'
loop_
_atom_site_label
_atom_site_fract_x
_atom_site_fract_y
_atom_site_fract_z
_atom_site_occupancy
Cd1 0.0148 0.0754 0.6523 1
In1 0.0000 0.0000 0.0000 1
In2 0.0000 0.2500 0.3750 1
Bi1 0.0000 0.2500 0.1250 1
```

Output
- calculated density (g cm⁻³) = 6.48
- formation enthalpy at 0 K (eV per atom) = 0.175



Record 2
First-principles (GGA-PBE) data for crystalline CdIn4Bi at its relaxed geometry, as listed in Alexandria via LeMat-Bulk.

Structure (CIF):
```
data_CdIn4Bi
_cell_length_a 8.8742
_cell_length_b 8.8742
_cell_length_c 8.8742
_cell_angle_alpha 90.00
_cell_angle_beta 90.00
_cell_angle_gamma 90.00
_symmetry_space_group_name_H-M 'F -4 3 m'
_symmetry_Int_Tables_number 216
_symmetry_space_group_name_Hall 'F -4 2 3'
loop_
_atom_site_label
_atom_site_fract_x
_atom_site_fract_y
_atom_site_fract_z
_atom_site_occupancy
Cd1 0.0000 0.0000 0.0000 1
In1 0.1250 0.1250 0.3750 1
Bi1 0.2500 0.2500 0.7500 1
```

Output
- calculated density (g cm⁻³) = 7.42
- formation enthalpy at 0 K (eV per atom) = 0.143
- energy relative to the lowest polymorph listed for this composition (meV/atom) = 114



Record 3
First-principles (GGA-PBE) data for crystalline CdIn4Bi at its relaxed geometry, as listed in Alexandria via LeMat-Bulk.

Structure (CIF):
```
data_CdIn4Bi
_cell_length_a 6.4060
_cell_length_b 9.3005
_cell_length_c 6.4137
_cell_angle_alpha 90.00
_cell_angle_beta 119.23
_cell_angle_gamma 90.00
_symmetry_space_group_name_H-M 'P 1 21/c 1'
_symmetry_Int_Tables_number 14
loop_
_symmetry_equiv_pos_as_xyz
'x,y,z'
'-x,-y,-z'
'-x,y+1/2,-z+1/2'
'x,-y+1/2,z+1/2'
loop_
_atom_site_label
_atom_site_fract_x
_atom_site_fract_y
_atom_site_fract_z
_atom_site_occupancy
Cd1 0.0000 0.0000 0.0000 1
In1 0.0975 0.1669 0.6132 1
In2 0.3890 0.6581 0.4069 1
Bi1 0.5000 0.0000 0.5000 1
```

Output
- calculated density (g cm⁻³) = 7.77
- formation enthalpy at 0 K (eV per atom) = 0.032
- energy relative to the lowest polymorph listed for this composition (meV/atom) = 3



Record 4
First-principles (GGA-PBE) data for crystalline Cd2InBi at its relaxed geometry, as listed in Alexandria via LeMat-Bulk.

Structure (CIF):
```
data_Cd2InBi
_cell_length_a 3.8434
_cell_length_b 3.8434
_cell_length_c 7.2453
_cell_angle_alpha 90.00
_cell_angle_beta 90.00
_cell_angle_gamma 90.00
_symmetry_space_group_name_H-M 'P 4/m m m'
_symmetry_Int_Tables_number 123
_symmetry_space_group_name_Hall '-P 4 2'
loop_
_atom_site_label
_atom_site_fract_x
_atom_site_fract_y
_atom_site_fract_z
_atom_site_occupancy
Cd1 0.0000 0.0000 0.2356 1
In1 0.5000 0.5000 0.0000 1
Bi1 0.5000 0.5000 0.5000 1
```

Output
- calculated density (g cm⁻³) = 8.51
- formation enthalpy at 0 K (eV per atom) = 0.088
- energy relative to the lowest polymorph listed for this composition (meV/atom) = 39



Record 5
First-principles (GGA-PBE) data for crystalline Cd2In2Bi at its relaxed geometry, as listed in Alexandria via LeMat-Bulk.

Structure (CIF):
```
data_Cd2In2Bi
_cell_length_a 4.3258
_cell_length_b 4.3258
_cell_length_c 15.0021
_cell_angle_alpha 90.00
_cell_angle_beta 90.00
_cell_angle_gamma 90.00
_symmetry_space_group_name_H-M 'I 4/m m m'
_symmetry_Int_Tables_number 139
_symmetry_space_group_name_Hall '-I 4 2'
loop_
_atom_site_label
_atom_site_fract_x
_atom_site_fract_y
_atom_site_fract_z
_atom_site_occupancy
Cd1 0.0000 0.5000 0.2500 1
In1 0.0000 0.0000 0.1002 1
Bi1 0.0000 0.0000 0.5000 1
```

Output
- calculated density (g cm⁻³) = 7.85
- formation enthalpy at 0 K (eV per atom) = 0.111
- energy relative to the lowest polymorph listed for this composition (meV/atom) = 54



Record 6
First-principles (GGA-PBE) data for crystalline Cd4InBi3 at its relaxed geometry, as listed in Alexandria via LeMat-Bulk.

Structure (CIF):
```
data_Cd4InBi3
_cell_length_a 6.2160
_cell_length_b 9.2834
_cell_length_c 7.8166
_cell_angle_alpha 90.00
_cell_angle_beta 90.00
_cell_angle_gamma 90.00
_symmetry_space_group_name_H-M 'I m m 2'
_symmetry_Int_Tables_number 44
loop_
_symmetry_equiv_pos_as_xyz
'x,y,z'
'-x,-y,z'
'-x,y,z'
'x,-y,z'
'x+1/2,y+1/2,z+1/2'
'-x+1/2,-y+1/2,z+1/2'
'-x+1/2,y+1/2,z+1/2'
'x+1/2,-y+1/2,z+1/2'
loop_
_atom_site_label
_atom_site_fract_x
_atom_site_fract_y
_atom_site_fract_z
_atom_site_occupancy
Cd1 0.0000 0.1897 0.0000 1
Cd2 0.2363 0.5000 0.2530 1
In1 0.0000 0.5000 0.8981 1
Bi1 0.0000 0.0000 0.3260 1
Bi2 0.0000 0.2802 0.5750 1
```

Output
- calculated density (g cm⁻³) = 8.77
- formation enthalpy at 0 K (eV per atom) = 0.073



Record 7
First-principles (GGA-PBE) data for crystalline Cd2In2Bi at its relaxed geometry, as listed in Alexandria via LeMat-Bulk.

Structure (CIF):
```
data_Cd2In2Bi
_cell_length_a 8.8069
_cell_length_b 8.8069
_cell_length_c 3.4708
_cell_angle_alpha 90.00
_cell_angle_beta 90.00
_cell_angle_gamma 90.00
_symmetry_space_group_name_H-M 'P 4/m b m'
_symmetry_Int_Tables_number 127
_symmetry_space_group_name_Hall '-P 4 2ab'
loop_
_atom_site_label
_atom_site_fract_x
_atom_site_fract_y
_atom_site_fract_z
_atom_site_occupancy
Cd1 0.1219 0.3781 0.0000 1
In1 0.1783 0.6783 0.5000 1
Bi1 0.0000 0.0000 0.0000 1
```

Output
- calculated density (g cm⁻³) = 8.18
- formation enthalpy at 0 K (eV per atom) = 0.070
- energy relative to the lowest polymorph listed for this composition (meV/atom) = 12



Record 8
First-principles (GGA-PBE) data for crystalline Cd3In12Bi at its relaxed geometry, as listed in Alexandria via LeMat-Bulk.

Structure (CIF):
```
data_Cd3In12Bi
_cell_length_a 4.8669
_cell_length_b 4.8669
_cell_length_c 18.1227
_cell_angle_alpha 90.00
_cell_angle_beta 90.00
_cell_angle_gamma 90.00
_symmetry_space_group_name_H-M 'P 4/m m m'
_symmetry_Int_Tables_number 123
_symmetry_space_group_name_Hall '-P 4 2'
loop_
_atom_site_label
_atom_site_fract_x
_atom_site_fract_y
_atom_site_fract_z
_atom_site_occupancy
Cd1 0.0000 0.0000 0.0000 1
Cd2 0.0000 0.0000 0.2444 1
In1 0.0000 0.5000 0.1236 1
In2 0.0000 0.5000 0.3682 1
In3 0.5000 0.5000 0.0000 1
In4 0.5000 0.5000 0.2460 1
In5 0.5000 0.5000 0.5000 1
Bi1 0.0000 0.0000 0.5000 1
```

Output
- calculated density (g cm⁻³) = 7.44
- formation enthalpy at 0 K (eV per atom) = 0.029



Record 9
First-principles (GGA-PBE) data for crystalline CdInBi4 at its relaxed geometry, as listed in Alexandria via LeMat-Bulk.

Structure (CIF):
```
data_CdInBi4
_cell_length_a 9.3516
_cell_length_b 9.3516
_cell_length_c 9.3516
_cell_angle_alpha 90.00
_cell_angle_beta 90.00
_cell_angle_gamma 90.00
_symmetry_space_group_name_H-M 'F -4 3 m'
_symmetry_Int_Tables_number 216
_symmetry_space_group_name_Hall 'F -4 2 3'
loop_
_atom_site_label
_atom_site_fract_x
_atom_site_fract_y
_atom_site_fract_z
_atom_site_occupancy
Cd1 0.0000 0.0000 0.0000 1
In1 0.2500 0.2500 0.7500 1
Bi1 0.1252 0.1252 0.3748 1
```

Output
- calculated density (g cm⁻³) = 8.63
- formation enthalpy at 0 K (eV per atom) = 0.201



Record 10
First-principles (GGA-PBE) data for crystalline CdIn3Bi3 at its relaxed geometry, as listed in Alexandria via LeMat-Bulk.

Structure (CIF):
```
data_CdIn3Bi3
_cell_length_a 8.4080
_cell_length_b 8.4080
_cell_length_c 8.4080
_cell_angle_alpha 90.00
_cell_angle_beta 90.00
_cell_angle_gamma 90.00
_symmetry_space_group_name_H-M 'P m -3 n'
_symmetry_Int_Tables_number 223
_symmetry_space_group_name_Hall '-P 4n 2 3'
loop_
_atom_site_label
_atom_site_fract_x
_atom_site_fract_y
_atom_site_fract_z
_atom_site_occupancy
Cd1 0.0000 0.0000 0.0000 1
In1 0.0000 0.2500 0.5000 1
Bi1 0.0000 0.5000 0.2500 1
```

Output
- calculated density (g cm⁻³) = 6.06
- formation enthalpy at 0 K (eV per atom) = 0.171



Record 11
First-principles (GGA-PBE) data for crystalline K2Cd4InBi3 at its relaxed geometry, as listed in Alexandria via LeMat-Bulk.

Structure (CIF):
```
data_K2Cd4InBi3
_cell_length_a 5.1050
_cell_length_b 5.1050
_cell_length_c 12.6527
_cell_angle_alpha 90.00
_cell_angle_beta 90.00
_cell_angle_gamma 90.00
_symmetry_space_group_name_H-M 'P -4 m 2'
_symmetry_Int_Tables_number 115
loop_
_symmetry_equiv_pos_as_xyz
'x,y,z'
'y,-x,-z'
'-x,-y,z'
'-y,x,-z'
'-x,y,z'
'-y,-x,-z'
'x,-y,z'
'y,x,-z'
loop_
_atom_site_label
_atom_site_fract_x
_atom_site_fract_y
_atom_site_fract_z
_atom_site_occupancy
K1 0.0000 0.5000 0.2462 1
Cd1 0.0000 0.0000 0.0000 1
Cd2 0.0000 0.5000 0.6336 1
Cd3 0.5000 0.5000 0.0000 1
In1 0.0000 0.0000 0.5000 1
Bi1 0.0000 0.5000 0.8670 1
Bi2 0.5000 0.5000 0.5000 1
```

Output
- calculated density (g cm⁻³) = 6.39
- formation enthalpy at 0 K (eV per atom) = -0.190



Record 12
First-principles (GGA-PBE) data for crystalline KCd2In2Bi2 at its relaxed geometry, as listed in Alexandria via LeMat-Bulk.

Structure (CIF):
```
data_KCd2In2Bi2
_cell_length_a 5.5759
_cell_length_b 5.5759
_cell_length_c 27.3587
_cell_angle_alpha 90.00
_cell_angle_beta 90.00
_cell_angle_gamma 120.00
_symmetry_space_group_name_H-M 'R -3 m'
_symmetry_Int_Tables_number 166
_symmetry_space_group_name_Hall '-R 3 2"'
loop_
_atom_site_label
_atom_site_fract_x
_atom_site_fract_y
_atom_site_fract_z
_atom_site_occupancy
K1 0.0000 0.0000 0.0000 1
Cd1 0.0000 0.0000 0.4344 1
In1 0.0000 0.0000 0.1272 1
Bi1 0.0000 0.0000 0.2396 1
```

Output
- calculated density (g cm⁻³) = 6.16
- formation enthalpy at 0 K (eV per atom) = -0.065